[1]
Crystalline MnTl2CuB at its relaxed geometry. Source: Alexandria via LeMat-Bulk, functional PBE-GGA.

```
5
Lattice="5.020 0.000 0.000 0.000 4.780 0.000 0.000 0.000 5.020" Properties=species:S:1:pos:R:3 pbc="T T T"
Tl 0.000 0.000 2.510
Tl 2.510 0.000 0.000
Mn 0.000 2.390 0.000
B 2.510 2.390 2.510
Cu 0.000 0.000 0.000
```

SG ... P4/mmm, No. 123
Energy of formation ... 1.36 eV/atom
DOS(E_F) ... 4.07 states/eV/cell

***

[2]
Crystalline K3Tl3CrI8 at its relaxed geometry. Source: Alexandria via LeMat-Bulk, functional PBE-GGA.

```
15
Lattice="-0.175 -9.422 3.248 8.608 5.017 -0.276 -6.970 2.427 6.664" Properties=species:S:1:pos:R:3 pbc="T T T"
K -3.573 -3.498 4.956
K 0.731 -0.989 4.818
K 0.819 3.722 3.194
Tl 0.000 0.000 0.000
Tl 4.304 2.509 -0.138
Tl 4.216 -2.202 1.486
Cr -3.485 1.213 3.332
I 2.516 0.765 2.354
I -1.053 -2.742 7.282
I 2.858 -3.827 4.346
I -1.396 1.849 5.290
I 6.433 -1.744 4.233
I -4.970 -0.234 5.403
I 6.535 3.767 2.334
I -5.073 -5.745 7.302
```

SG ... R-3m, No. 166
Formation energy without anion corrections ... -85.7 kJ/mol of atoms
DOS(E_F) ... 6.29 states/eV/cell

***

[3]
Crystalline IrBrN3 at its relaxed geometry. Source: Alexandria via LeMat-Bulk, functional PBE-GGA.

```
5
Lattice="-3.147 1.069 2.061 1.569 -1.581 3.215 1.712 3.414 0.844" Properties=species:S:1:pos:R:3 pbc="T T T"
Ir 0.000 0.000 0.000
Br 0.067 1.451 3.060
N 0.784 -0.791 1.607
N 0.856 1.707 0.422
N -1.574 0.535 1.031
```

SG ... Pm-3m, No. 221
Formation energy without anion corrections ... 160.9 kJ/mol of atoms
DOS(E_F) ... 3.27 states/eV/cell

***

[4]
Crystalline Ca2Ni3Sn at its relaxed geometry. Source: Alexandria via LeMat-Bulk, functional PBE-GGA.

```
12
Lattice="-0.002 0.743 5.380 2.494 -4.322 -2.144 7.155 4.430 -0.609" Properties=species:S:1:pos:R:3 pbc="T T T"
Ca 3.932 0.976 2.608
Ca 5.714 -0.125 0.019
Ca 8.342 1.502 -0.205
Ca 1.305 -0.651 2.831
Ni 2.675 -0.298 0.042
Ni 5.809 2.818 1.075
Ni 6.971 1.149 2.585
Ni 3.839 -2.314 -0.958
Ni 5.808 3.165 3.585
Ni 3.838 -1.967 1.552
Sn 3.577 2.215 -0.305
Sn 0.000 0.000 0.000
```

SG ... P6_3/mmc, No. 194
Energy of formation ... -0.29 eV/atom
DOS(E_F) ... 9.33 states/eV/cell

***

[5]
Crystalline LiInBr2 at its relaxed geometry. Source: Alexandria via LeMat-Bulk, functional PBE-GGA.

```
4
Lattice="-3.599 -0.294 2.130 3.559 -1.695 1.429 1.787 7.130 4.005" Properties=species:S:1:pos:R:3 pbc="T T T"
Br 1.716 6.850 3.848
Br 0.963 3.845 2.160
In 0.426 0.788 2.781
Li 1.320 4.353 4.783
```

SG ... Cmmm, No. 65
Formation energy without anion corrections ... -91.1 kJ/mol of atoms
Polymorph energy (0 for the lowest one) ... 121.2 meV per atom

***

[6]
Crystalline PrPaCu2O6 at its relaxed geometry. Source: Alexandria via LeMat-Bulk, functional PBE-GGA.

```
10
Lattice="-1.775 2.525 4.656 -3.683 -2.555 3.333 2.308 -2.292 5.475" Properties=species:S:1:pos:R:3 pbc="T T T"
Pr 0.000 0.000 0.000
Pa -1.575 -1.161 6.731
Cu -2.467 -1.684 10.026
Cu -0.684 -0.638 3.436
O -0.061 -2.521 5.918
O 0.014 -0.082 7.787
O -1.373 0.163 4.996
O -3.090 0.199 7.545
O -3.165 -2.240 5.676
O -1.778 -2.485 8.467
```

SG ... R-3, No. 148
Formation energy without anion corrections ... -213.4 kJ/mol of atoms
DOS(E_F) ... 6.15 states/eV/cell

***

[7]
Crystalline Cd2Ag2I at its relaxed geometry. Source: Alexandria via LeMat-Bulk, functional PBE-GGA.

```
10
Lattice="8.922 0.000 0.000 0.000 8.922 0.000 0.000 0.000 3.060" Properties=species:S:1:pos:R:3 pbc="T T T"
I 0.000 0.000 0.000
I 4.461 4.461 0.000
Ag 0.999 5.460 1.530
Ag 5.460 7.923 1.530
Ag 7.923 3.462 1.530
Ag 3.462 0.999 1.530
Cd 2.832 7.293 0.000
Cd 7.293 6.090 0.000
Cd 6.090 1.629 0.000
Cd 1.629 2.832 0.000
```

SG ... P4/mbm, No. 127
Formation energy without anion corrections ... 9.1 kJ/mol of atoms
Polymorph energy (0 for the lowest one) ... 48.5 meV per atom
DOS(E_F) ... 3.04 states/eV/cell

***

[8]
Crystalline SmYTlSe at its relaxed geometry. Source: Alexandria via LeMat-Bulk, functional PBE-GGA.

```
4
Lattice="3.945 -0.003 0.002 -1.974 3.419 -0.001 -1.967 -1.136 8.317" Properties=species:S:1:pos:R:3 pbc="T T T"
Sm 0.376 -0.250 5.444
Y -1.601 3.169 0.649
Tl 2.345 0.888 3.011
Se -1.596 0.891 7.279
```

SG ... Cm, No. 8
Formation energy without anion corrections ... -99.8 kJ/mol of atoms
DOS(E_F) ... 3.46 states/eV/cell

***

[9]
Crystalline ZrBe2SiRu at its relaxed geometry. Source: Alexandria via LeMat-Bulk, functional PBE-GGA.

```
5
Lattice="-1.381 -3.163 -2.355 0.052 -2.997 3.994 -3.943 1.080 0.862" Properties=species:S:1:pos:R:3 pbc="T T T"
Ru 0.000 0.000 0.000
Si -2.636 -2.540 1.250
Zr 0.026 -1.499 1.997
Be -1.972 0.540 0.431
Be -0.690 -1.581 -1.178
```

SG ... P4/mmm, No. 123
Formation energy without anion corrections ... 47.2 kJ/mol of atoms
DOS(E_F) ... 2.03 states/eV/cell

***

[10]
Crystalline SrBrN at its relaxed geometry. Source: Alexandria via LeMat-Bulk, functional PBE-GGA.

```
6
Lattice="-3.248 0.095 5.415 0.720 0.335 4.804 5.116 8.551 1.109" Properties=species:S:1:pos:R:3 pbc="T T T"
Sr -1.042 2.458 9.857
Sr 3.630 6.523 1.471
Br 0.558 3.321 7.089
Br 2.029 5.660 4.239
N 0.210 0.680 4.857
N 2.377 8.301 6.471
```

SG ... C2/m, No. 12
Formation energy without anion corrections ... -122.1 kJ/mol of atoms
DOS(E_F) ... 2.04 states/eV/cell

***

[11]
Crystalline Sr2Ca4Pr at its relaxed geometry. Source: Alexandria via LeMat-Bulk, functional PBE-GGA.

```
7
Lattice="-0.829 -3.232 2.115 -0.877 0.118 -3.852 20.584 -8.520 -4.954" Properties=species:S:1:pos:R:3 pbc="T T T"
Pr 12.813 -7.961 -3.454
Sr 0.879 -3.034 -0.602
Sr 7.022 -5.557 -2.051
Ca 19.267 -8.175 -4.941
Ca 10.062 -5.711 -4.783
Ca 4.797 -2.180 -1.451
Ca 15.539 -7.980 -6.105
```

SG ... Cm, No. 8
Energy of formation ... 0.01 eV/atom
DOS(E_F) ... 7.37 states/eV/cell

***

[12]
Crystalline KZnIr3 at its relaxed geometry. Source: Alexandria via LeMat-Bulk, functional PBE-GGA.

```
5
Lattice="-0.458 2.313 4.066 2.349 -3.420 2.210 4.046 2.247 -0.823" Properties=species:S:1:pos:R:3 pbc="T T T"
Zn 2.969 0.570 2.727
Ir 1.174 -1.710 1.105
Ir 2.023 1.123 -0.411
Ir -0.229 1.157 2.033
K 0.000 0.000 0.000
```

SG ... Pm-3m, No. 221
Energy of formation ... 3.03 eV/atom
Polymorph energy (0 for the lowest one) ... 1582.2 meV per atom
DOS(E_F) ... 6.61 states/eV/cell

***

no.,magnetization (μB/atom)
1,0.8379
2,0.2667
3,0.2126
4,0.0000
5,0.0000
6,0.2080
7,0.0000
8,0.0000
9,0.0000
10,0.0010
11,0.1431
12,0.2241